# 1
## SmCdF5 (PBE)

Data for a geometry-optimized SmCdF5 structure.

abc: 6.019 6.019 7.949
angles: 71.13 71.13 74.03
Sites, in units of the cell vectors:
Sm 0.546 0.454 0.250
Sm 0.454 0.546 0.750
Cd 0.000 0.000 0.000
Cd 0.000 0.000 0.500
F 0.774 0.728 0.130
F 0.318 0.670 0.464
F 0.728 0.774 0.630
F 0.864 0.136 0.250
F 0.330 0.682 0.036
F 0.670 0.318 0.964
F 0.136 0.864 0.750
F 0.272 0.226 0.370
F 0.682 0.330 0.536
F 0.226 0.272 0.870

Computed properties:
crystal system: monoclinic
formation energy from raw total energies: -3.246 eV per atom

# 2
## Sm2CdF8 (PBE)

Data for a geometry-optimized Sm2CdF8 structure.

abc: 3.754 5.572 7.686
angles: 109.14 104.14 90.00
Sites, in units of the cell vectors:
F 0.596 0.440 0.192
F 0.321 0.038 0.642
F 0.219 0.326 0.438
F 0.041 0.815 0.082
F 0.781 0.674 0.562
F 0.679 0.962 0.358
F 0.404 0.560 0.808
F 0.959 0.185 0.918
Sm 0.176 0.685 0.351
Sm 0.824 0.315 0.649
Cd 0.500 0.000 0.000

Computed properties:
crystal system: monoclinic
formation energy from raw total energies: -3.571 eV per atom

# 3
## SmTl2Cd3F12 (PBE)

Data for a geometry-optimized SmTl2Cd3F12 structure.

abc: 8.363 8.363 8.363
angles: 56.99 56.99 56.99
Sites, in units of the cell vectors:
Sm 0.000 0.000 0.000
Tl 0.586 0.586 0.586
Tl 0.414 0.414 0.414
Cd 0.500 0.000 0.000
Cd 0.000 0.500 0.000
Cd 0.000 0.000 0.500
F 0.332 0.332 0.899
F 0.931 0.931 0.326
F 0.326 0.931 0.931
F 0.899 0.332 0.332
F 0.931 0.326 0.931
F 0.332 0.899 0.332
F 0.668 0.668 0.101
F 0.069 0.069 0.674
F 0.674 0.069 0.069
F 0.101 0.668 0.668
F 0.069 0.674 0.069
F 0.668 0.101 0.668

Computed properties:
crystal system: trigonal
formation energy from raw total energies: -2.347 eV per atom

Q: formation energy from raw total energies of number 3 (SmTl2Cd3F12)?
A: -2.347 eV per atom